Record 1
A relaxed MgCuRh14 crystal, computed with PBE.

Calculated values
magnetization	0.00	μB per cell
formation energy from the elements	-0.03	eV/atom
total energy	-109.1	eV/cell

Cell lengths 5.434, 5.434, 7.729 Å; angles 90.00, 90.00, 90.00 degrees
Sites, in units of the cell vectors:
Mg  0.875  0.125  0.000
Cu  0.375  0.625  0.000
Rh  0.375  0.625  0.500
Rh  0.875  0.125  0.500
Rh  0.875  0.625  0.000
Rh  0.875  0.625  0.500
Rh  0.375  0.125  0.000
Rh  0.375  0.125  0.500
Rh  0.623  0.873  0.746
Rh  0.623  0.873  0.254
Rh  0.127  0.377  0.746
Rh  0.127  0.377  0.254
Rh  0.127  0.873  0.747
Rh  0.127  0.873  0.253
Rh  0.623  0.377  0.746
Rh  0.623  0.377  0.254

---

Record 2
A relaxed Zn4Ag3Au2 crystal, computed with PBE.

Calculated values
magnetization	0.00	μB per cell
formation energy from the elements	-0.12	eV/atom
total energy	-21.3	eV/cell

Cell lengths 4.277, 4.613, 8.483 Å; angles 84.47, 90.00, 117.62 degrees
Sites, in units of the cell vectors:
Zn  0.666  0.331  0.110
Zn  0.003  0.005  0.665
Zn  0.997  0.995  0.335
Zn  0.334  0.669  0.890
Ag  0.334  0.669  0.566
Ag  0.000  0.000  0.000
Ag  0.666  0.331  0.434
Au  0.332  0.665  0.215
Au  0.668  0.335  0.785

---

Record 3
A relaxed NaCu2Ir crystal, computed with PBE.

Calculated values
magnetization	1.36	μB per cell
energy above the lowest structure with this stoichiometry	1.55	eV/f.u.
formation energy from the elements	0.79	eV/atom
total energy	-30.5	eV/cell

Cell lengths 4.162, 4.162, 9.068 Å; angles 76.73, 76.73, 90.00 degrees
Site moments in Bohr magnetons follow the coordinates.
Sites, in units of the cell vectors:
Na  0.500  0.500  0.000  0.00
Na  0.250  0.750  0.500  -0.01
Ir  0.000  0.000  0.000  0.59
Ir  0.750  0.250  0.500  0.56
Cu  0.723  0.125  0.250  0.06
Cu  0.027  0.625  0.250  0.06
Cu  0.375  0.277  0.750  0.06
Cu  0.875  0.973  0.750  0.07

---

Record 4
A relaxed BaInIN2 crystal, computed with PBE.

Calculated values
raw formation energy	598	meV/atom
magnetization	1.98	μB per cell
energy above the lowest structure with this stoichiometry	0.00	eV/f.u.
total energy	-19.9	eV/cell

Cell lengths 4.609, 4.609, 6.156 Å; angles 90.00, 90.00, 90.00 degrees
Site moments in Bohr magnetons follow the coordinates.
Sites, in units of the cell vectors:
I  0.000  0.000  0.500  0.00
N  0.000  0.500  0.000  0.70
N  0.500  0.000  0.000  0.70
Ba  0.500  0.500  0.500  -0.02
In  0.000  0.000  0.000  -0.03

---

What is the formula in the first record?
MgCuRh14

---

Copy entry 2 word for word.
A relaxed Zn4Ag3Au2 crystal, computed with PBE.

Calculated values
magnetization	0.00	μB per cell
formation energy from the elements	-0.12	eV/atom
total energy	-21.3	eV/cell

Cell lengths 4.277, 4.613, 8.483 Å; angles 84.47, 90.00, 117.62 degrees
Sites, in units of the cell vectors:
Zn  0.666  0.331  0.110
Zn  0.003  0.005  0.665
Zn  0.997  0.995  0.335
Zn  0.334  0.669  0.890
Ag  0.334  0.669  0.566
Ag  0.000  0.000  0.000
Ag  0.666  0.331  0.434
Au  0.332  0.665  0.215
Au  0.668  0.335  0.785